A crystal of TlZn2Sb2 relaxed with PBEsol. Source: the Alexandria database, functional meta-GGA SCAN.

extended XYZ file:
```
10
Lattice="-4.1602 4.1602 3.6596 4.1602 -4.1602 3.6596 4.1602 4.1602 -3.6596" Properties=species:S:1:pos:R:3 pbc="T T T"
Tl 0.0000 0.0000 0.0000
Tl 0.0000 0.0000 3.6596
Zn 2.9935 1.1667 -0.9349
Zn 2.9935 -1.1667 2.7248
Zn 1.1667 5.3269 -0.9349
Zn 1.1667 2.9935 2.7248
Sb 5.4523 -1.2921 1.6691
Sb 2.8681 1.2921 1.6691
Sb -1.2921 2.8681 1.6691
Sb 1.2921 5.4523 1.6691
```

## Properties
* spin magnetization: 0.00 Bohr magnetons per cell
* formation energy from raw total energies: -3 meV/atom
* theoretical density: 7.586 g cm⁻³



A crystal of ZrTl2Sb relaxed with PBEsol. Source: the Alexandria database, functional meta-GGA SCAN.

extended XYZ file:
```
4
Lattice="3.2323 0.0000 0.0000 0.0000 3.2323 0.0000 0.0000 0.0000 9.2976" Properties=species:S:1:pos:R:3 pbc="T T T"
Zr 0.0000 0.0000 0.0000
Tl 1.6161 1.6161 2.1689
Tl 1.6161 1.6161 7.1287
Sb 0.0000 0.0000 4.6488
```

## Properties
* spin magnetization: 0.00 Bohr magnetons per cell
* formation energy from raw total energies: 154 meV/atom
* theoretical density: 10.629 g cm⁻³